This record from Alexandria describes an optimized crystal structure of Li4Cr5Co3O16. The functional is PBE with a Hubbard U.

Cell and atoms, written as extended XYZ:
```
28
Lattice="5.7665 0.0000 0.0000 2.8746 5.0251 0.0000 0.0294 0.0286 9.4321" Properties=species:S:1:pos:R:3 pbc="T T T"
Li 0.0000 0.0000 0.0000
Li 5.7808 0.0163 4.6823
Li 2.9532 1.6172 3.6960
Li 5.9182 3.3540 8.4742
Cr 2.9498 3.3517 6.6921
Cr 1.5545 0.8536 6.7462
Cr 4.3865 4.1819 1.9750
Cr 3.0086 1.7156 9.3052
Cr 5.7997 3.3211 4.5545
Co 4.3895 0.8724 6.7448
Co 5.8124 1.6888 2.0200
Co 7.2305 4.1544 2.0342
O 2.9097 5.0480 7.6666
O 0.0257 0.0126 2.9257
O 1.7429 2.4507 7.9233
O 1.4746 0.8089 0.9977
O 2.9718 3.3744 1.0060
O 4.3403 4.1545 5.6850
O 3.0173 1.6616 5.7048
O 4.2764 2.4292 7.8749
O 3.0481 0.2013 7.9288
O 5.8072 4.7907 3.1711
O 4.5510 2.5787 3.1468
O 5.8533 3.3072 1.0206
O 4.4468 0.8273 1.0209
O 5.7895 1.6141 5.6696
O 7.2885 4.1825 5.7238
O 7.0884 2.5722 3.1466
```

Calculated values
Magnetization ... 0.53 μB/atom
Crystal system ... triclinic
Volume ... 273.31 Å³ per cell
DFT total energy ... -6.583 eV per atom